1.
Density functional theory data (PBE) for an optimized crystal structure of Zr4NiIr.

Calculated values
symmetry	I4_1md, No. 109
formation energy from the elements	-53	meV per atom

Unit cell a=7.227 b=7.227 c=7.227 alpha=102.65 beta=102.65 gamma=124.19
Sites, in units of the cell vectors:
Zr (0.236, 0.984, 0.748)
Zr (0.746, 0.452, 0.707)
Zr (0.734, 0.486, 0.248)
Zr (0.202, 0.996, 0.207)
Zr (0.237, 0.486, 0.752)
Zr (0.789, 0.996, 0.793)
Zr (0.746, 0.039, 0.293)
Zr (0.236, 0.487, 0.252)
Ni (0.323, 0.323, 0.000)
Ni (0.073, 0.573, 0.500)
Ir (0.715, 0.715, 0.000)
Ir (0.465, 0.965, 0.500)



2.
Density functional theory data (PBE) for an optimized crystal structure of NdDyErTh.

Calculated values
symmetry	R3m, No. 160
formation energy from the elements	14	meV per atom

Unit cell a=3.595 b=3.594 c=11.734 alpha=90.01 beta=98.83 gamma=119.99
Sites, in units of the cell vectors:
Nd (0.969, 0.383, 0.367)
Dy (0.475, 0.135, 0.625)
Er (0.132, 0.964, 0.110)
Th (0.303, 0.549, 0.868)



3.
Density functional theory data (PBE) for an optimized crystal structure of TlTeRu2.

Calculated values
energy relative to the elements, uncorrected	37	kJ/mol of atoms
symmetry	P4mm, No. 99

Unit cell a=3.094 b=3.094 c=8.489 alpha=90.00 beta=90.00 gamma=90.00
Sites, in units of the cell vectors:
Ru (0.000, 0.000, 0.039)
Ru (0.500, 0.500, 0.231)
Te (0.000, 0.000, 0.427)
Tl (0.500, 0.500, 0.803)



4.
Density functional theory data (PBE) for an optimized crystal structure of SrZnRu3.

Calculated values
symmetry	Pm-3m, No. 221
formation energy from the elements	2535	meV per atom

Unit cell a=4.949 b=4.949 c=4.949 alpha=90.00 beta=90.00 gamma=90.00
Sites, in units of the cell vectors:
Ru (0.000, 0.500, 0.000)
Ru (0.000, 0.000, 0.500)
Ru (0.500, 0.000, 0.000)
Zn (0.500, 0.500, 0.500)
Sr (0.000, 0.000, 0.000)



5.
Density functional theory data (PBE) for an optimized crystal structure of IrW2Br.

Calculated values
energy relative to the elements, uncorrected	81	kJ/mol of atoms
symmetry	C2/m, No. 12

Unit cell a=4.373 b=4.373 c=5.743 alpha=81.12 beta=81.12 gamma=38.20
Sites, in units of the cell vectors:
Ir (0.250, 0.250, 0.250)
Br (0.750, 0.750, 0.750)
W (0.997, 0.997, 0.006)
W (0.503, 0.503, 0.494)



6.
Density functional theory data (PBE) for an optimized crystal structure of BaAsS2O8.

Calculated values
energy relative to the elements, uncorrected	-152	kJ/mol of atoms
symmetry	C2/m, No. 12

Unit cell a=5.296 b=6.021 c=6.945 alpha=63.86 beta=67.59 gamma=63.91
Sites, in units of the cell vectors:
Ba (0.500, 0.500, 0.500)
As (0.000, 0.000, 0.000)
S (0.298, 0.220, 0.184)
S (0.702, 0.780, 0.816)
O (0.855, 0.622, 0.668)
O (0.663, 0.625, 0.050)
O (0.145, 0.378, 0.332)
O (0.337, 0.375, 0.950)
O (0.589, 0.036, 0.241)
O (0.411, 0.964, 0.759)
O (0.133, 0.036, 0.241)
O (0.867, 0.964, 0.759)



7.
Density functional theory data (PBE) for an optimized crystal structure of AgPbAu2.

Calculated values
symmetry	R3m, No. 160
formation energy from the elements	82	meV per atom

Unit cell a=4.111 b=4.111 c=6.973 alpha=72.86 beta=72.86 gamma=60.00
Sites, in units of the cell vectors:
Ag (0.498, 0.498, 0.505)
Pb (0.669, 0.669, 0.994)
Au (0.091, 0.091, 0.728)
Au (0.242, 0.242, 0.273)



8.
Density functional theory data (PBE) for an optimized crystal structure of BPC.

Calculated values
symmetry	Cm, No. 8
formation energy from the elements	237	meV per atom

Unit cell a=5.112 b=2.728 c=4.768 alpha=90.00 beta=107.93 gamma=90.00
Sites, in units of the cell vectors:
P (0.377, 0.000, 0.054)
P (0.377, 0.500, 0.554)
C (0.761, 0.000, 0.181)
C (0.761, 0.500, 0.681)
B (0.789, 0.000, 0.858)
B (0.789, 0.500, 0.358)



9.
Density functional theory data (PBE) for an optimized crystal structure of MnNbVNi2.

Calculated values
symmetry	P4/mmm, No. 123
formation energy from the elements	873	meV per atom

Unit cell a=4.275 b=4.120 c=4.275 alpha=90.00 beta=90.00 gamma=90.00
Sites, in units of the cell vectors:
Ni (0.000, 0.000, 0.500)
Ni (0.500, 0.000, 0.000)
Nb (0.500, 0.500, 0.500)
Mn (0.000, 0.500, 0.000)
V (0.000, 0.000, 0.000)



10.
Density functional theory data (PBE) for an optimized crystal structure of RbSb2Pb2.

Calculated values
energy relative to the elements, uncorrected	-14	kJ/mol of atoms
symmetry	R-3m, No. 166

Unit cell a=4.479 b=4.479 c=11.416 alpha=78.69 beta=78.69 gamma=60.00
Sites, in units of the cell vectors:
Rb (0.000, 0.000, 0.000)
Sb (0.586, 0.586, 0.242)
Sb (0.414, 0.414, 0.758)
Pb (0.206, 0.206, 0.383)
Pb (0.794, 0.794, 0.617)



11.
Density functional theory data (PBE) for an optimized crystal structure of InAg2Pt.

Calculated values
symmetry	R-3m, No. 166
formation energy from the elements	118	meV per atom

Unit cell a=9.671 b=9.671 c=9.671 alpha=17.83 beta=17.83 gamma=17.83
Sites, in units of the cell vectors:
Ag (0.004, 0.004, 0.004)
Ag (0.496, 0.496, 0.496)
Pt (0.750, 0.750, 0.750)
In (0.250, 0.250, 0.250)



12.
Density functional theory data (PBE) for an optimized crystal structure of AcLaMgAl.

Calculated values
symmetry	P4mm, No. 99
formation energy from the elements	-194	meV per atom

Unit cell a=3.918 b=3.918 c=8.083 alpha=90.00 beta=90.00 gamma=90.00
Sites, in units of the cell vectors:
Ac (0.500, 0.500, 0.590)
La (0.500, 0.500, 0.124)
Mg (0.000, 0.000, 0.871)
Al (0.000, 0.000, 0.343)



13.
Density functional theory data (PBE) for an optimized crystal structure of AcTl2I5.

Calculated values
energy relative to the elements, uncorrected	-108	kJ/mol of atoms
symmetry	Pnma, No. 62

Unit cell a=9.381 b=10.094 c=14.571 alpha=90.00 beta=90.00 gamma=90.00
Sites, in units of the cell vectors:
Ac (0.416, 0.250, 0.505)
Ac (0.584, 0.750, 0.495)
Ac (0.916, 0.750, 0.995)
Ac (0.084, 0.250, 0.005)
Tl (0.459, 0.495, 0.823)
Tl (0.541, 0.505, 0.177)
Tl (0.959, 0.505, 0.677)
Tl (0.541, 0.995, 0.177)
Tl (0.041, 0.495, 0.323)
Tl (0.459, 0.005, 0.823)
Tl (0.041, 0.005, 0.323)
Tl (0.959, 0.995, 0.677)
I (0.059, 0.250, 0.504)
I (0.941, 0.750, 0.496)
I (0.559, 0.750, 0.996)
I (0.441, 0.250, 0.004)
I (0.331, 0.953, 0.585)
I (0.669, 0.047, 0.415)
I (0.831, 0.047, 0.915)
I (0.669, 0.453, 0.415)
I (0.169, 0.953, 0.085)
I (0.331, 0.547, 0.585)
I (0.169, 0.547, 0.085)
I (0.831, 0.453, 0.915)
I (0.173, 0.250, 0.784)
I (0.827, 0.750, 0.216)
I (0.673, 0.750, 0.716)
I (0.327, 0.250, 0.284)
I (0.633, 0.250, 0.686)
I (0.367, 0.750, 0.314)
I (0.133, 0.750, 0.814)
I (0.867, 0.250, 0.186)



14.
Density functional theory data (PBE) for an optimized crystal structure of MgOsSeBr2.

Calculated values
energy relative to the elements, uncorrected	26	kJ/mol of atoms
symmetry	P4/mmm, No. 123

Unit cell a=5.248 b=5.248 c=4.708 alpha=90.00 beta=90.00 gamma=90.00
Sites, in units of the cell vectors:
Mg (0.500, 0.500, 0.500)
Os (0.000, 0.000, 0.000)
Se (0.000, 0.000, 0.500)
Br (0.000, 0.500, 0.000)
Br (0.500, 0.000, 0.000)



15.
Density functional theory data (PBE) for an optimized crystal structure of LiCuGe.

Calculated values
symmetry	P2_1/m, No. 11
formation energy from the elements	-192	meV per atom

Unit cell a=4.047 b=3.959 c=5.669 alpha=90.00 beta=111.17 gamma=90.00
Sites, in units of the cell vectors:
Li (0.915, 0.250, 0.830)
Li (0.085, 0.750, 0.170)
Cu (0.239, 0.250, 0.478)
Cu (0.761, 0.750, 0.522)
Ge (0.604, 0.250, 0.208)
Ge (0.396, 0.750, 0.792)



16.
Density functional theory data (PBE) for an optimized crystal structure of KTaCl2.

Calculated values
energy relative to the elements, uncorrected	-27	kJ/mol of atoms
symmetry	Pmm2, No. 25

Unit cell a=3.105 b=4.225 c=7.372 alpha=90.00 beta=90.00 gamma=90.00
Sites, in units of the cell vectors:
K (0.000, 0.000, 0.456)
Cl (0.000, 0.000, 0.944)
Cl (0.500, 0.500, 0.220)
Ta (0.500, 0.500, 0.880)



17.
Density functional theory data (PBE) for an optimized crystal structure of Ba2Tl2Hg15.

Calculated values
symmetry	R-3m, No. 166
formation energy from the elements	-188	meV per atom

Unit cell a=8.382 b=8.382 c=8.382 alpha=76.68 beta=76.68 gamma=76.68
Sites, in units of the cell vectors:
Ba (0.314, 0.314, 0.314)
Ba (0.686, 0.686, 0.686)
Tl (0.096, 0.096, 0.096)
Tl (0.904, 0.904, 0.904)
Hg (0.500, 0.000, 0.000)
Hg (0.000, 0.000, 0.500)
Hg (0.000, 0.500, 0.000)
Hg (0.000, 0.704, 0.296)
Hg (0.704, 0.296, 0.000)
Hg (0.296, 0.000, 0.704)
Hg (0.296, 0.704, 0.000)
Hg (0.704, 0.000, 0.296)
Hg (0.000, 0.296, 0.704)
Hg (0.164, 0.611, 0.611)
Hg (0.611, 0.611, 0.164)
Hg (0.611, 0.164, 0.611)
Hg (0.836, 0.389, 0.389)
Hg (0.389, 0.389, 0.836)
Hg (0.389, 0.836, 0.389)



18.
Density functional theory data (PBE) for an optimized crystal structure of Tb5Te.

Calculated values
energy relative to the elements, uncorrected	-27	kJ/mol of atoms
symmetry	Cmmm, No. 65

Unit cell a=4.879 b=4.784 c=7.948 alpha=107.52 beta=90.00 gamma=90.00
Sites, in units of the cell vectors:
Te (0.000, 0.000, 0.000)
Tb (0.500, 0.833, 0.666)
Tb (0.000, 0.663, 0.326)
Tb (0.500, 0.500, 0.000)
Tb (0.000, 0.337, 0.674)
Tb (0.500, 0.167, 0.334)



19.
Density functional theory data (PBE) for an optimized crystal structure of BeV2In.

Calculated values
symmetry	Fm-3m, No. 225
formation energy from the elements	444	meV per atom

Unit cell a=4.344 b=4.344 c=4.344 alpha=60.00 beta=60.00 gamma=60.00
Sites, in units of the cell vectors:
Be (0.000, 0.000, 0.000)
In (0.500, 0.500, 0.500)
V (0.250, 0.250, 0.250)
V (0.750, 0.750, 0.750)



20.
Density functional theory data (PBE) for an optimized crystal structure of LaHfRu3.

Calculated values
symmetry	Pm-3m, No. 221
formation energy from the elements	614	meV per atom

Unit cell a=4.825 b=4.825 c=4.825 alpha=90.00 beta=90.00 gamma=90.00
Sites, in units of the cell vectors:
Ru (0.000, 0.500, 0.000)
Ru (0.000, 0.000, 0.500)
Ru (0.500, 0.000, 0.000)
Hf (0.000, 0.000, 0.000)
La (0.500, 0.500, 0.500)